# 1
Compound: TbPd2
Source: OQMD
Functional: PBE
Structure: relaxed

Space-group type = I4/mmm, No. 139
Formation energy = -769.8 meV/atom

Structure (POSCAR):
```
TbPd2
1.0
-1.763 1.763 4.591
1.763 -1.763 4.591
1.763 1.763 -4.591
Tb Pd
1 2
Cartesian
0.000 0.000 0.000 Tb
0.000 0.000 3.055 Pd
0.000 0.000 6.126 Pd
```


# 2
Compound: NaSrTbSe3
Source: OQMD
Functional: PBE
Structure: relaxed

Space-group type = C2/m, No. 12
Offset from the most stable computed form = 0.0 meV per atom

Structure (POSCAR):
```
NaSrTbSe3
1.0
8.944 -2.085 0.000
8.944 2.085 0.000
-2.346 0.000 8.769
Na Sr Tb Se
2 2 2 6
Cartesian
-0.408 0.000 1.782 Na
15.950 0.000 6.987 Na
5.509 0.000 3.808 Sr
10.033 0.000 4.960 Sr
3.827 0.000 7.998 Tb
11.715 0.000 0.771 Tb
-1.173 0.000 4.384 Se
0.996 0.000 7.549 Se
2.462 0.000 2.762 Se
8.944 0.000 0.000 Se
13.080 0.000 6.007 Se
14.546 0.000 1.220 Se
```


# 3
Compound: Ho2Tm
Source: OQMD
Functional: PBE
Structure: relaxed

Space-group type = Fd-3m, No. 227
Formation energy = 262.5 meV/atom
Offset from the most stable computed form = 238.6 meV per atom

Structure (POSCAR):
```
Ho2Tm
1.0
0.000 4.572 4.572
4.572 0.000 4.572
4.572 4.572 0.000
Ho Tm
4 2
Cartesian
0.000 0.000 0.000 Ho
2.286 2.286 0.000 Ho
2.286 0.000 2.286 Ho
0.000 2.286 2.286 Ho
3.429 3.429 3.429 Tm
5.715 5.715 5.715 Tm
```